No. 1
The following is a PBE calculation of an optimized crystal structure of MnAg4Au, from Alexandria.

a b c (Å): 5.418 5.418 5.418
angles (deg): 60.00 60.00 60.00
Site moments in Bohr magnetons follow the coordinates.
Sites, in units of the cell vectors:
Mn (0.000, 0.000, 0.000)  4.20
Ag (0.875, 0.375, 0.375)  0.01
Ag (0.375, 0.375, 0.875)  0.01
Ag (0.375, 0.875, 0.375)  0.01
Ag (0.375, 0.375, 0.375)  0.01
Au (0.750, 0.750, 0.750)  0.00

Results
Energy relative to the elements, eV/atom: 0.284
M_tot, μB/f.u.: 4.43


No. 2
The following is a PBE calculation of an optimized crystal structure of MnAgAu14, from Alexandria.

a b c (Å): 6.024 6.024 7.902
angles (deg): 90.00 90.00 90.00
Site moments in Bohr magnetons follow the coordinates.
Sites, in units of the cell vectors:
Mn (0.875, 0.875, 0.500)  4.12
Ag (0.375, 0.375, 0.500)  0.00
Au (0.875, 0.875, 0.000)  0.00
Au (0.375, 0.375, 0.000)  -0.01
Au (0.875, 0.375, 0.500)  0.04
Au (0.875, 0.375, 0.000)  0.02
Au (0.375, 0.875, 0.500)  0.04
Au (0.375, 0.875, 0.000)  0.02
Au (0.628, 0.122, 0.254)  0.02
Au (0.628, 0.122, 0.746)  0.02
Au (0.122, 0.628, 0.254)  0.02
Au (0.122, 0.628, 0.746)  0.02
Au (0.628, 0.628, 0.254)  0.02
Au (0.628, 0.628, 0.746)  0.02
Au (0.122, 0.122, 0.254)  0.02
Au (0.122, 0.122, 0.746)  0.02

Results
Energy relative to the elements, eV/atom: -0.015
M_tot, μB/f.u.: 4.62


No. 3
The following is a PBE calculation of an optimized crystal structure of Mn2AgAu, from Alexandria.

a b c (Å): 9.272 9.272 9.272
angles (deg): 17.77 17.77 17.77
Site moments in Bohr magnetons follow the coordinates.
Sites, in units of the cell vectors:
Ag (0.504, 0.504, 0.504)  0.01
Au (0.746, 0.746, 0.746)  0.00
Mn (0.997, 0.997, 0.997)  3.37
Mn (0.254, 0.254, 0.254)  3.38

Results
Energy relative to the elements, eV/atom: 0.257
M_tot, μB/f.u.: 7.00


No. 4
The following is a PBE calculation of an optimized crystal structure of MnAg2Au6, from Alexandria.

a b c (Å): 5.398 7.990 7.990
angles (deg): 76.96 82.83 82.83
Site moments in Bohr magnetons follow the coordinates.
Sites, in units of the cell vectors:
Mn (0.250, 0.107, 0.893)  4.02
Mn (0.750, 0.893, 0.107)  4.02
Ag (0.100, 0.724, 0.664)  0.00
Ag (0.400, 0.336, 0.276)  0.00
Ag (0.900, 0.276, 0.336)  0.00
Ag (0.600, 0.664, 0.724)  0.00
Au (0.493, 0.658, 0.376)  0.02
Au (0.007, 0.624, 0.342)  0.02
Au (0.507, 0.342, 0.624)  0.02
Au (0.993, 0.376, 0.658)  0.02
Au (0.741, 0.942, 0.430)  0.03
Au (0.759, 0.570, 0.058)  0.03
Au (0.259, 0.058, 0.570)  0.03
Au (0.241, 0.430, 0.942)  0.03
Au (0.259, 0.765, 0.006)  0.04
Au (0.241, 0.994, 0.235)  0.04
Au (0.741, 0.235, 0.994)  0.04
Au (0.759, 0.006, 0.765)  0.04

Results
E above lowest polymorph, eV per formula unit: 0.96
Energy relative to the elements, eV/atom: 0.050
M_tot, μB/f.u.: 4.41